[1]
DFT (PBE-GGA) results for a relaxed MnPd6Pt3 crystal.

Its calculated total energy is -5.801 eV/atom. For the formation energy, the calculation gives 0.04 eV per atom. As for the total magnetization: 0.49 μB per atom.

Lattice parameters (Å, degrees): 7.3866 5.2734 5.2734 59.63 69.82 69.82
Sites, in units of the cell vectors:
Pd  0.3059  0.5617  0.0686
Pd  0.6941  0.9314  0.4383
Pd  0.3059  0.0686  0.5617
Pd  0.9289  0.3549  0.3549
Pd  0.6941  0.4383  0.9314
Pt  0.3056  0.0699  0.0699
Pt  0.0000  0.0000  0.0000
Mn  0.5000  0.5000  0.5000
Pd  0.0711  0.6451  0.6451
Pt  0.6944  0.9301  0.9301

[2]
DFT (PBE-GGA) results for a relaxed MnPd5Pt6 crystal.

Its calculated total energy is -6.082 eV/atom. For the formation energy, the calculation gives -0.13 eV per atom. As for the total magnetization: 0.41 μB per atom.

Lattice parameters (Å, degrees): 3.9256 7.9337 7.3876 122.46 105.38 90.05
Sites, in units of the cell vectors:
Pt  0.1656  0.4128  0.3312
Pt  0.5002  0.2445  0.0000
Pt  0.8344  0.5872  0.6688
Pd  0.3357  0.8357  0.6714
Pt  0.4998  0.7555  0.0000
Mn  0.0000  0.0000  0.0000
Pd  0.0000  0.5000  0.0000
Pt  0.8344  0.0816  0.6688
Pd  0.3349  0.3349  0.6699
Pt  0.1656  0.9184  0.3312
Pd  0.6651  0.6651  0.3301
Pd  0.6643  0.1643  0.3286

[3]
DFT (PBE-GGA) results for a relaxed Mn3PdPt3 crystal.

Its calculated total energy is -7.413 eV/atom. For the formation energy, the calculation gives -0.15 eV per atom. As for the total magnetization: 1.88 μB per atom.

Lattice parameters (Å, degrees): 7.6658 7.6658 7.6658 90.00 90.00 90.00
Sites, in units of the cell vectors:
Pt  0.8309  0.3309  0.1691
Mn  0.3692  0.5367  0.8048
Pt  0.3444  0.8444  0.6556
Mn  0.8692  0.9633  0.1952
Mn  0.1308  0.4633  0.3048
Pt  0.3716  0.6284  0.1284
Mn  0.8048  0.3692  0.5367
Pd  0.4589  0.4589  0.4589
Pd  0.9589  0.0411  0.5411
Mn  0.1952  0.8692  0.9633
Pt  0.3309  0.1691  0.8309
Mn  0.6308  0.0367  0.6952
Mn  0.3048  0.1308  0.4633
Mn  0.0367  0.6952  0.6308
Pt  0.1284  0.3716  0.6284
Mn  0.5367  0.8048  0.3692
Mn  0.6952  0.6308  0.0367
Pt  0.1556  0.1556  0.1556
Pt  0.6556  0.3444  0.8444
Pd  0.0411  0.5411  0.9589
Pt  0.1691  0.8309  0.3309
Pt  0.8716  0.8716  0.8716
Pt  0.8444  0.6556  0.3444
Pt  0.6691  0.6691  0.6691
Pt  0.6284  0.1284  0.3716
Mn  0.4633  0.3048  0.1308
Pd  0.5411  0.9589  0.0411
Mn  0.9633  0.1952  0.8692

[4]
DFT (PBE-GGA) results for a relaxed Mn3PdPt4 crystal.

Its calculated total energy is -7.406 eV/atom. For the formation energy, the calculation gives -0.30 eV per atom. As for the total magnetization: 1.64 μB per atom.

Lattice parameters (Å, degrees): 4.7105 5.6943 9.0540 90.00 90.00 90.00
Sites, in units of the cell vectors:
Mn  0.6440  0.5000  0.7500
Pt  0.5000  0.7552  0.5000
Pt  0.1363  0.7499  0.7500
Pt  0.5000  0.2448  0.0000
Mn  0.0000  0.0000  0.0000
Mn  0.3739  0.0000  0.2500
Pt  0.8637  0.2501  0.2500
Mn  0.0000  0.0000  0.5000
Pt  0.1363  0.2501  0.7500
Pt  0.5000  0.7552  0.0000
Mn  0.3560  0.5000  0.2500
Mn  0.6261  0.0000  0.7500
Pt  0.8637  0.7499  0.2500
Pd  0.0000  0.5000  0.5000
Pt  0.5000  0.2448  0.5000
Pd  0.0000  0.5000  0.0000

[5]
DFT (PBE-GGA) results for a relaxed MnPd3Pt2 crystal.

Its calculated total energy is -6.213 eV/atom. The energy above the most stable polymorph in this dataset is 0 meV/atom. For the formation energy, the calculation gives -0.08 eV per atom. As for the total magnetization: 0.82 μB per atom.

Lattice parameters (Å, degrees): 5.2548 5.2548 8.1262 99.73 99.73 118.50
Sites, in units of the cell vectors:
Pt  0.2494  0.2494  0.0000
Pd  0.1634  0.6654  0.8288
Pd  0.8245  0.8245  0.6490
Mn  0.3405  0.3405  0.6809
Pd  0.8366  0.3346  0.1712
Pt  0.2500  0.7500  0.5000
Pd  0.3346  0.8366  0.1712
Pd  0.6654  0.1634  0.8288
Pt  0.7500  0.2500  0.5000
Mn  0.6595  0.6595  0.3191
Pd  0.1755  0.1755  0.3510
Pt  0.7506  0.7506  0.0000

[6]
DFT (PBE-GGA) results for a relaxed MnPdPt4 crystal.

Its calculated total energy is -6.627 eV/atom. The energy above the most stable polymorph in this dataset is 0 meV/atom. For the formation energy, the calculation gives -0.21 eV per atom. As for the total magnetization: 0.78 μB per atom.

Lattice parameters (Å, degrees): 6.8673 5.5721 5.5711 120.01 90.54 90.00
Sites, in units of the cell vectors:
Pd  0.6631  0.4140  0.8280
Pt  0.0000  0.7508  0.0000
Mn  0.6708  0.9112  0.8223
Pt  0.6634  0.4086  0.3243
Mn  0.3292  0.0888  0.1777
Pt  0.0013  0.2489  0.4978
Pt  0.3366  0.5914  0.6757
Pt  0.9987  0.7511  0.5022
Pt  0.6634  0.9157  0.3244
Pd  0.3369  0.5860  0.1720
Pt  0.0000  0.2492  0.0000
Pt  0.3366  0.0843  0.6756

[7]
DFT (PBE-GGA) results for a relaxed MnPd3Pt5 crystal.

Its calculated total energy is -5.821 eV/atom. For the formation energy, the calculation gives 0.28 eV per atom. As for the total magnetization: 0.28 μB per atom.

Lattice parameters (Å, degrees): 6.8932 6.8932 7.9373 115.74 115.74 90.00
Sites, in units of the cell vectors:
Pd  0.1239  0.3761  0.0000
Mn  0.7500  0.2500  0.5000
Pd  0.6239  0.1239  0.0000
Pt  0.9473  0.4473  0.2942
Pt  0.6531  0.1531  0.7058
Pt  0.0527  0.5527  0.7058
Pt  0.5000  0.5000  0.0000
Mn  0.2500  0.7500  0.5000
Pt  0.0000  0.0000  0.0000
Pt  0.3469  0.8469  0.2942
Pd  0.3761  0.8761  0.0000
Pt  0.5527  0.6531  0.7058
Pt  0.4473  0.3469  0.2942
Pd  0.7500  0.7500  0.5000
Pd  0.2500  0.2500  0.5000
Pt  0.8469  0.9473  0.2942
Pt  0.1531  0.0527  0.7058
Pd  0.8761  0.6239  0.0000

[8]
DFT (PBE-GGA) results for a relaxed Mn2Pd3Pt7 crystal.

Its calculated total energy is -6.561 eV/atom. For the formation energy, the calculation gives -0.21 eV per atom. As for the total magnetization: 0.67 μB per atom.

Lattice parameters (Å, degrees): 4.8125 4.8126 8.8418 79.64 100.36 70.54
Sites, in units of the cell vectors:
Pd  0.1671  0.8329  0.3349
Pt  0.2504  0.2505  0.5000
Pd  0.5000  0.5000  0.0000
Pd  0.8329  0.1671  0.6651
Pt  0.5848  0.9156  0.1698
Pt  0.0844  0.4152  0.1697
Pt  0.9156  0.5848  0.8303
Pt  0.4152  0.0844  0.8302
Pt  0.7496  0.7495  0.5000
Mn  0.3321  0.6679  0.6644
Mn  0.6679  0.3322  0.3356
Pt  0.0000  0.0000  0.0000